Entry from Alexandria: an optimized crystal structure of TaNi2Rh (GGA-PBEsol).

Cell and atoms, written as CIF:
```
data_TaNi2Rh
_chemical_formula_sum 'Ta2 Ni4 Rh2'
_space_group_name_H-M_alt 'I 4/m m m'
_space_group_IT_number 139
_space_group_name_Hall '-I 4 2'
_cell_length_a 3.691
_cell_length_b 3.691
_cell_length_c 7.483
_cell_angle_alpha 90.00
_cell_angle_beta 90.00
_cell_angle_gamma 90.00
loop_
_atom_site_label
_atom_site_type_symbol
_atom_site_fract_x
_atom_site_fract_y
_atom_site_fract_z
Ta1 Ta 0.000 0.000 0.000
Ni1 Ni 0.000 0.500 0.250
Rh1 Rh 0.000 0.000 0.500
```

## Properties
Its volume is 51 Å³/f.u. For the formation energy, the calculation gives -0.42 eV per atom.